First-principles (PBE) data for PbIO2F after structural relaxation, as listed in Alexandria.

abc: 4.440 4.440 4.531
angles: 90.00 90.00 90.00
Space group P4/mmm (No. 123)
Inequivalent atoms, fractional coordinates:
Pb (0.000, 0.000, 0.000) x1
I (0.500, 0.500, 0.500) x1
O (0.000, 0.500, 0.000) x2
F (0.000, 0.000, 0.500) x1



First-principles (PBE) data for PbIO4F after structural relaxation, as listed in Alexandria.

abc: 10.186 7.962 7.703
angles: 90.00 107.42 90.00
Space group C2/m (No. 12)
Inequivalent atoms, fractional coordinates:
Pb (0.188, 0.000, 0.128) x4
I (0.156, 0.500, 0.279) x4
O (0.022, 0.500, 0.728) x4
O (0.191, 0.322, 0.155) x8
O (0.231, 0.000, 0.492) x4
F (0.028, 0.000, 0.840) x4



First-principles (PBE) data for PbIO2F after structural relaxation, as listed in Alexandria.

abc: 4.106 4.106 6.867
angles: 90.00 90.00 90.00
Space group P4/mmm (No. 123)
Inequivalent atoms, fractional coordinates:
Pb (0.000, 0.000, 0.000) x1
I (0.000, 0.000, 0.500) x1
O (0.000, 0.500, 0.000) x2
F (0.500, 0.500, 0.500) x1



First-principles (PBE) data for PbIO2F after structural relaxation, as listed in Alexandria.

abc: 4.767 4.767 4.188
angles: 90.00 90.00 90.00
Space group P4/mmm (No. 123)
Inequivalent atoms, fractional coordinates:
Pb (0.000, 0.000, 0.000) x1
I (0.500, 0.500, 0.000) x1
O (0.000, 0.500, 0.500) x2
F (0.500, 0.500, 0.500) x1



First-principles (PBE) data for PbIO2F after structural relaxation, as listed in Alexandria.

abc: 4.109 4.109 5.966
angles: 90.00 90.00 90.00
Space group P4/mmm (No. 123)
Inequivalent atoms, fractional coordinates:
Pb (0.000, 0.000, 0.000) x1
I (0.500, 0.500, 0.500) x1
O (0.000, 0.500, 0.500) x2
F (0.500, 0.500, 0.000) x1



First-principles (PBE) data for PdIOF2 after structural relaxation, as listed in Alexandria.

abc: 4.134 4.134 4.446
angles: 90.00 90.00 90.00
Space group P4/mmm (No. 123)
Inequivalent atoms, fractional coordinates:
Pd (0.000, 0.000, 0.000) x1
I (0.500, 0.500, 0.500) x1
O (0.000, 0.000, 0.500) x1
F (0.000, 0.500, 0.000) x2

## Properties
polymorph energy (0 for the lowest one): 0 meV/atom



First-principles (PBE) data for PdIOF2 after structural relaxation, as listed in Alexandria.

abc: 4.730 4.730 4.023
angles: 90.00 90.00 90.00
Space group P4/mmm (No. 123)
Inequivalent atoms, fractional coordinates:
Pd (0.000, 0.000, 0.000) x1
I (0.500, 0.500, 0.500) x1
O (0.500, 0.500, 0.000) x1
F (0.000, 0.500, 0.500) x2

## Properties
polymorph energy (0 for the lowest one): 210 meV/atom



First-principles (PBE) data for PmIO4F after structural relaxation, as listed in Alexandria.

abc: 9.686 7.416 6.806
angles: 90.00 99.83 90.00
Space group C2/m (No. 12)
Inequivalent atoms, fractional coordinates:
Pm (0.195, 0.000, 0.111) x4
I (0.141, 0.500, 0.320) x4
O (0.056, 0.500, 0.753) x4
O (0.191, 0.322, 0.154) x8
O (0.201, 0.000, 0.472) x4
F (0.030, 0.000, 0.826) x4



First-principles (PBE) data for PmIO4F2 after structural relaxation, as listed in Alexandria.

abc: 5.871 8.136 10.046
angles: 90.00 90.00 90.00
Space group Imma (No. 74)
Inequivalent atoms, fractional coordinates:
Pm (0.000, 0.000, 0.000) x4
I (0.250, 0.250, 0.250) x4
O (0.000, 0.079, 0.247) x8
O (0.227, 0.250, 0.063) x8
F (0.000, 0.000, 0.500) x4
F (0.250, 0.250, 0.750) x4



First-principles (PBE) data for PrIO4F after structural relaxation, as listed in Alexandria.

abc: 9.804 7.526 6.875
angles: 90.00 99.58 90.00
Space group C2/m (No. 12)
Inequivalent atoms, fractional coordinates:
Pr (0.195, 0.000, 0.113) x4
I (0.140, 0.500, 0.319) x4
O (0.054, 0.500, 0.752) x4
O (0.190, 0.324, 0.155) x8
O (0.204, 0.000, 0.476) x4
F (0.030, 0.000, 0.826) x4



First-principles (PBE) data for PtIO2F after structural relaxation, as listed in Alexandria.

abc: 4.001 4.001 5.295
angles: 90.00 90.00 90.00
Space group P4/mmm (No. 123)
Inequivalent atoms, fractional coordinates:
Pt (0.000, 0.000, 0.000) x1
I (0.500, 0.500, 0.500) x1
O (0.000, 0.500, 0.500) x2
F (0.500, 0.500, 0.000) x1



First-principles (PBE) data for PtIOF2 after structural relaxation, as listed in Alexandria.

abc: 4.672 4.672 3.742
angles: 90.00 90.00 90.00
Space group P4/mmm (No. 123)
Inequivalent atoms, fractional coordinates:
Pt (0.000, 0.000, 0.000) x1
I (0.500, 0.500, 0.500) x1
O (0.000, 0.000, 0.500) x1
F (0.000, 0.500, 0.000) x2

## Properties
polymorph energy (0 for the lowest one): 0 meV/atom



| no. | uncorrected formation energy (eV per atom) |
| --- | --- |
| 1 | -0.39 |
| 2 | -0.73 |
| 3 | -0.11 |
| 4 | 0.24 |
| 5 | -0.47 |
| 6 | -0.31 |
| 7 | -0.10 |
| 8 | -1.65 |
| 9 | -1.03 |
| 10 | -1.63 |
| 11 | 0.52 |
| 12 | -0.23 |